(1)
GGA-PBE CoCS2, optimized geometry; energy = -4.96 eV/atom; calculated volume = 12.609 Å³/atom
1.0
1.488 0.859 6.571
-1.488 0.859 6.571
0.000 -1.719 6.571
Co C S
1 1 2
direct
0.000 0.000 0.000
0.500 0.500 0.500
0.105 0.105 0.105
0.895 0.895 0.895

=====

(2)
GGA-PBE CoCS2, optimized geometry; energy = -5.71 eV/atom; calculated volume = 13.922 Å³/atom
1.0
1.705 0.984 5.529
-1.705 0.984 5.529
0.000 -1.969 5.529
Co C S
1 1 2
direct
0.000 0.000 0.000
0.500 0.500 0.500
0.404 0.404 0.404
0.596 0.596 0.596

=====

(3)
GGA-PBE CoCS2, optimized geometry; energy = -5.52 eV/atom; calculated volume = 12.760 Å³/atom
1.0
-2.392 2.392 4.459
2.392 -2.392 4.459
2.392 2.392 -4.459
Co C S
2 2 4
direct
0.000 0.000 0.000
0.750 0.250 0.500
0.250 0.750 0.500
0.500 0.500 0.000
0.158 0.625 0.033
0.375 0.408 0.533
0.592 0.125 0.967
0.875 0.842 0.467

=====

(4)
GGA-PBE Co4CS2, optimized geometry; energy = -6.26 eV/atom; calculated volume = 11.858 Å³/atom
1.0
-1.920 1.920 5.629
1.920 -1.920 5.629
1.920 1.920 -5.629
Co C S
4 1 2
direct
0.000 0.500 0.500
0.165 0.165 0.000
0.500 0.000 0.500
0.835 0.835 0.000
0.000 0.000 0.000
0.362 0.362 0.000
0.638 0.638 0.000

=====

(5)
GGA-PBE Co2CS, optimized geometry; calculated volume = 12.139 Å³/atom; distance to the lowest polymorph of the same formula = 0.000 eV per atom
1.0
-2.251 2.251 4.792
2.251 -2.251 4.792
2.251 2.251 -4.792
Co C S
4 2 2
direct
0.062 0.625 0.937
0.375 0.312 0.437
0.688 0.125 0.063
0.875 0.938 0.563
0.000 0.000 0.000
0.750 0.250 0.500
0.250 0.750 0.500
0.500 0.500 0.000

=====

(6)
GGA-PBE Ta6CoC3S6, optimized geometry; energy = -9.01 eV/atom; calculated volume = 14.956 Å³/atom
1.0
2.860 -4.954 0.000
2.860 4.954 0.000
-1.912 0.000 8.444
Ta Co C S
6 1 3 6
direct
0.120 0.120 0.364
0.213 0.545 0.638
0.455 0.787 0.362
0.545 0.213 0.638
0.787 0.455 0.362
0.880 0.880 0.636
0.000 0.000 0.000
0.169 0.831 0.500
0.500 0.500 0.500
0.831 0.169 0.500
0.056 0.389 0.167
0.278 0.278 0.834
0.389 0.056 0.167
0.611 0.944 0.833
0.722 0.722 0.166
0.944 0.611 0.833

=====

(7)
GGA-PBE Th6CoC3S2, optimized geometry; energy = -8.14 eV/atom; calculated volume = 21.194 Å³/atom
1.0
8.600 -1.913 0.000
8.600 1.913 0.000
-2.109 0.000 7.728
Th Co C S
6 1 3 2
direct
0.007 0.007 0.241
0.329 0.329 0.438
0.340 0.340 0.896
0.660 0.660 0.104
0.671 0.671 0.562
0.993 0.993 0.759
0.500 0.500 0.500
0.168 0.168 0.331
0.500 0.500 0.000
0.832 0.832 0.669
0.167 0.167 0.836
0.833 0.833 0.164

=====

(8)
GGA-PBE Th6Co3CS2, optimized geometry; energy = -7.65 eV/atom; calculated volume = 22.405 Å³/atom
1.0
9.235 -1.939 0.000
9.235 1.939 0.000
-2.604 0.000 7.509
Th Co C S
6 3 1 2
direct
0.004 0.004 0.251
0.329 0.329 0.853
0.354 0.354 0.414
0.646 0.646 0.586
0.671 0.671 0.147
0.996 0.996 0.749
0.192 0.192 0.406
0.500 0.500 0.000
0.808 0.808 0.594
0.500 0.500 0.500
0.168 0.168 0.870
0.832 0.832 0.130

=====

(9)
GGA-PBE TlCoCS2, optimized geometry; energy = -3.28 eV/atom; calculated volume = 22.833 Å³/atom
1.0
5.255 0.000 0.000
0.000 5.255 0.000
0.000 0.000 4.134
Tl Co C S
1 1 1 2
direct
0.000 0.000 0.000
0.500 0.500 0.500
0.000 0.000 0.500
0.000 0.500 0.000
0.500 0.000 0.000

=====

(10)
GGA-PBE VCoCS2, optimized geometry; energy = -5.10 eV/atom; calculated volume = 17.999 Å³/atom
1.0
4.409 0.000 0.000
0.000 4.409 0.000
0.000 0.000 4.629
V Co C S
1 1 1 2
direct
0.000 0.000 0.000
0.000 0.000 0.500
0.500 0.500 0.500
0.000 0.500 0.000
0.500 0.000 0.000

=====

(11)
GGA-PBE ZnCo2CS, optimized geometry; energy = -3.46 eV/atom; calculated volume = 17.496 Å³/atom
1.0
4.514 0.000 0.000
0.000 4.514 0.000
0.000 0.000 4.294
Zn Co C S
1 2 1 1
direct
0.000 0.000 0.000
0.000 0.500 0.000
0.500 0.000 0.000
0.500 0.500 0.500
0.000 0.000 0.500

=====

(12)
GGA-PBE Co3SbC, optimized geometry; calculated volume = 20.882 Å³/atom; distance to the lowest polymorph of the same formula = 2.337 eV per atom
1.0
4.709 0.000 0.000
0.000 4.709 0.000
0.000 0.000 4.709
Co Sb C
3 1 1
direct
0.000 0.000 0.500
0.000 0.500 0.000
0.500 0.000 0.000
0.000 0.000 0.000
0.500 0.500 0.500

=====

(13)
GGA-PBE Co2SbC, optimized geometry; calculated volume = 14.495 Å³/atom; distance to the lowest polymorph of the same formula = 0.000 eV per atom
1.0
-2.408 2.408 4.999
2.408 -2.408 4.999
2.408 2.408 -4.999
Co Sb C
4 2 2
direct
0.000 0.625 0.875
0.375 0.250 0.375
0.750 0.125 0.125
0.875 0.000 0.625
0.250 0.750 0.500
0.500 0.500 0.000
0.000 0.000 0.000
0.750 0.250 0.500

=====

(14)
GGA-PBE CoSb2C, optimized geometry; energy = -5.41 eV/atom; calculated volume = 19.396 Å³/atom
1.0
-2.788 2.788 4.991
2.788 -2.788 4.991
2.788 2.788 -4.991
Co Sb C
2 4 2
direct
0.000 0.000 0.000
0.750 0.250 0.500
0.155 0.625 0.030
0.375 0.405 0.530
0.595 0.125 0.970
0.875 0.845 0.470
0.250 0.750 0.500
0.500 0.500 0.000

=====

(15)
GGA-PBE Co2SbC, optimized geometry; calculated volume = 12.472 Å³/atom; distance to the lowest polymorph of the same formula = 0.791 eV per atom
1.0
0.000 2.922 2.922
2.922 0.000 2.922
2.922 2.922 0.000
Co Sb C
2 1 1
direct
0.250 0.250 0.250
0.750 0.750 0.750
0.000 0.000 0.000
0.500 0.500 0.500

=====

(16)
GGA-PBE Co3SbC, optimized geometry; calculated volume = 11.656 Å³/atom; distance to the lowest polymorph of the same formula = 0.000 eV per atom
1.0
3.877 0.000 0.000
0.000 3.877 0.000
0.000 0.000 3.877
Co Sb C
3 1 1
direct
0.000 0.000 0.500
0.000 0.500 0.000
0.500 0.000 0.000
0.500 0.500 0.500
0.000 0.000 0.000

=====

(17)
GGA-PBE CoSbC2, optimized geometry; energy = -6.36 eV/atom; calculated volume = 13.205 Å³/atom
1.0
-2.366 2.366 4.718
2.366 -2.366 4.718
2.366 2.366 -4.718
Co Sb C
2 2 4
direct
0.000 0.000 0.000
0.750 0.250 0.500
0.250 0.750 0.500
0.500 0.500 0.000
0.065 0.625 0.940
0.375 0.315 0.440
0.685 0.125 0.060
0.875 0.935 0.560

=====

(18)
GGA-PBE Co2TcSbC, optimized geometry; energy = -6.26 eV/atom; calculated volume = 16.481 Å³/atom
1.0
4.602 0.000 0.000
0.000 4.602 0.000
0.000 0.000 3.891
Co Tc Sb C
2 1 1 1
direct
0.000 0.500 0.000
0.500 0.000 0.000
0.000 0.000 0.000
0.500 0.500 0.500
0.000 0.000 0.500

=====

(19)
GGA-PBE CoSb2TeC, optimized geometry; calculated volume = 20.428 Å³/atom; distance to the lowest polymorph of the same formula = 0.000 eV per atom
1.0
4.654 0.000 0.000
0.000 4.654 0.000
0.000 0.000 4.716
Co Sb Te C
1 2 1 1
direct
0.000 0.000 0.000
0.000 0.500 0.500
0.500 0.000 0.500
0.500 0.500 0.000
0.500 0.500 0.500

=====

(20)
GGA-PBE CoSb2TeC, optimized geometry; calculated volume = 23.405 Å³/atom; distance to the lowest polymorph of the same formula = 0.291 eV per atom
1.0
4.783 0.000 0.000
0.000 4.783 0.000
0.000 0.000 5.116
Co Sb Te C
1 2 1 1
direct
0.000 0.000 0.000
0.000 0.500 0.000
0.500 0.000 0.000
0.000 0.000 0.500
0.500 0.500 0.500

=====

(21)
GGA-PBE Ti2CoSbC, optimized geometry; energy = -7.11 eV/atom; calculated volume = 15.235 Å³/atom
1.0
4.065 0.000 0.000
0.000 4.065 0.000
0.000 0.000 4.611
Ti Co Sb C
2 1 1 1
direct
0.000 0.500 0.000
0.500 0.000 0.000
0.000 0.000 0.500
0.500 0.500 0.500
0.500 0.500 0.000

=====

(22)
GGA-PBE Y2CoSbC, optimized geometry; energy = -7.18 eV/atom; calculated volume = 19.507 Å³/atom
1.0
5.085 0.000 0.000
0.000 5.085 0.000
0.000 0.000 3.772
Y Co Sb C
2 1 1 1
direct
0.000 0.500 0.000
0.500 0.000 0.000
0.000 0.000 0.500
0.500 0.500 0.500
0.000 0.000 0.000

=====

(23)
GGA-PBE ScCo2C, optimized geometry; calculated volume = 13.852 Å³/atom; energy of formation from the pure elements = 239 meV per atom
1.0
-2.132 2.132 6.096
2.132 -2.132 6.096
2.132 2.132 -6.096
Sc Co C
2 4 2
direct
0.000 0.000 0.000
0.750 0.250 0.500
0.311 0.625 0.186
0.375 0.561 0.686
0.439 0.125 0.814
0.875 0.689 0.314
0.250 0.750 0.500
0.500 0.500 0.000

=====

(24)
GGA-PBE ScCoC, optimized geometry; calculated volume = 11.816 Å³/atom; energy of formation from the pure elements = -207 meV per atom; distance to the lowest polymorph of the same formula = 0.123 eV per atom
1.0
3.352 0.000 0.000
-1.676 2.903 0.000
0.000 0.000 3.642
Sc Co C
1 1 1
direct
0.000 0.000 0.000
0.333 0.667 0.500
0.667 0.333 0.500

=====

(25)
GGA-PBE ScCoC3, optimized geometry; calculated volume = 10.521 Å³/atom; energy of formation from the pure elements = 1336 meV per atom; distance to the lowest polymorph of the same formula = 0.000 eV per atom
1.0
3.747 0.000 0.000
0.000 3.747 0.000
0.000 0.000 3.747
Sc Co C
1 1 3
direct
0.000 0.000 0.000
0.500 0.500 0.500
0.000 0.500 0.500
0.500 0.000 0.500
0.500 0.500 0.000

=====

(26)
GGA-PBE ScCo4C2, optimized geometry; calculated volume = 10.245 Å³/atom; energy of formation from the pure elements = -64 meV per atom
1.0
1.718 -6.100 0.000
1.718 6.100 0.000
0.000 0.000 3.421
Sc Co C
1 4 2
direct
0.000 0.000 0.000
0.172 0.828 0.500
0.325 0.675 0.000
0.675 0.325 0.000
0.828 0.172 0.500
0.395 0.605 0.500
0.605 0.395 0.500